No. 1
First-principles (GGA-PBE) data for YTc2Pb after structural relaxation, as listed in the Alexandria database.

Cell and atoms, written as POSCAR:
```
YTc2Pb
1.0
5.748 0.002 0.004
2.851 4.991 -0.004
-3.850 -3.272 2.742
Pb Tc Y
1 2 1
Direct
0.769 0.269 0.500
0.226 0.726 0.500
0.015 0.015 0.000
0.491 0.491 0.000
```

Summary:
Density   10.39 g/cm³
Symmetry   No. 44
VASP energy   -0.55042 Ry/atom

---

No. 2
First-principles (GGA-PBE) data for HOsRh after structural relaxation, as listed in the Alexandria database.

Cell and atoms, written as POSCAR:
```
HOsRh
1.0
-3.186 -3.513 -1.126
1.548 -3.661 0.026
0.763 0.351 3.932
Rh H Os
2 2 2
Direct
0.983 0.841 0.120
0.516 0.575 0.886
0.249 0.428 0.503
0.250 0.429 0.003
0.968 0.303 0.612
0.531 0.022 0.393
```

Summary:
Density   15.40 g/cm³
Symmetry   No. 46
Distance to the lowest polymorph of the same formula   14.0 kJ per mole of atoms
VASP energy   -0.51963 Ry/atom

---

No. 3
First-principles (GGA-PBE) data for PmErAgAu after structural relaxation, as listed in the Alexandria database.

Cell and atoms, written as POSCAR:
```
PmErAgAu
1.0
-2.858 1.675 -1.430
-0.455 -2.741 -2.302
-4.440 -3.386 4.908
Ag Au Pm Er
1 1 1 1
Direct
0.000 0.000 0.877
0.000 0.000 0.335
0.500 0.500 0.602
0.500 0.500 0.113
```

Summary:
Density   10.59 g/cm³
Symmetry   No. 99
Distance to the lowest polymorph of the same formula   0.0 kJ per mole of atoms
VASP energy   -0.32623 Ry/atom

---

No. 4
First-principles (GGA-PBE) data for Gd2InSb after structural relaxation, as listed in the Alexandria database.

Cell and atoms, written as POSCAR:
```
Gd2InSb
1.0
-1.517 -0.963 -3.567
-1.731 -3.221 1.606
-5.617 3.710 1.387
In Gd Sb
1 2 1
Direct
0.500 0.500 0.500
0.000 0.000 0.757
0.000 0.000 0.243
0.500 0.500 0.000
```

Summary:
Density   8.35 g/cm³
Symmetry   No. 123
Distance to the lowest polymorph of the same formula   0.0 kJ per mole of atoms
VASP energy   -0.69632 Ry/atom

---

No. 5
First-principles (GGA-PBE) data for Pm5SmY8 after structural relaxation, as listed in the Alexandria database.

Cell and atoms, written as POSCAR:
```
Pm5SmY8
1.0
8.517 -0.098 0.169
-2.974 7.981 -0.169
-2.568 -4.084 7.021
Y Pm Sm
8 5 1
Direct
0.337 0.260 0.430
0.923 0.093 0.663
0.078 0.748 0.474
0.170 0.740 0.077
0.570 0.907 0.830
0.725 0.252 0.330
0.526 0.605 0.275
0.670 0.395 0.922
0.814 0.677 0.710
0.034 0.323 0.137
0.863 0.897 0.186
0.290 0.103 0.966
0.500 0.000 0.500
0.250 0.500 0.750
```

Summary:
Density   5.55 g/cm³
Symmetry   No. 82
VASP energy   -0.40389 Ry/atom

---

No. 6
First-principles (GGA-PBE) data for Tl2SiMo after structural relaxation, as listed in the Alexandria database.

Cell and atoms, written as POSCAR:
```
Tl2SiMo
1.0
10.835 0.033 0.019
10.397 3.052 0.019
10.397 1.511 2.652
Tl Mo Si
2 1 1
Direct
0.995 0.995 0.995
0.505 0.505 0.505
0.250 0.250 0.250
0.750 0.750 0.750
```

Summary:
Density   10.27 g/cm³
Symmetry   No. 166
Distance to the lowest polymorph of the same formula   55.3 kJ per mole of atoms
VASP energy   -0.32220 Ry/atom

---

No. 7
First-principles (GGA-PBE) data for Ta3Cr after structural relaxation, as listed in the Alexandria database.

Cell and atoms, written as POSCAR:
```
Ta3Cr
1.0
-4.495 3.193 -0.996
0.450 -3.833 -4.061
-2.546 -2.837 2.396
Ta Cr
6 2
Direct
0.860 0.613 0.750
0.387 0.140 0.750
0.140 0.387 0.250
0.613 0.860 0.250
0.120 0.880 0.250
0.880 0.120 0.750
0.626 0.374 0.250
0.374 0.626 0.750
```

Summary:
Density   14.78 g/cm³
Symmetry   No. 63
VASP energy   -0.82578 Ry/atom

---

No. 8
First-principles (GGA-PBE) data for BaMgAlSn2 after structural relaxation, as listed in the Alexandria database.

Cell and atoms, written as POSCAR:
```
BaMgAlSn2
1.0
-4.007 0.480 -2.497
1.723 -2.914 -3.326
-1.380 -3.794 5.996
Al Sn Ba Mg
1 2 1 1
Direct
0.750 0.250 0.500
0.379 0.379 0.759
0.621 0.621 0.241
0.000 0.000 0.000
0.250 0.750 0.500
```

Summary:
Density   4.91 g/cm³
Symmetry   No. 119
VASP energy   -0.25203 Ry/atom